(1)
PrTe2P2Pt7 | GGA-PBE | relaxed

Cell: 14.8941 14.8941 14.8941 Å, 164.40 164.40 22.13°
Positions (direct):
Pr (0.0000, 0.0000, 0.0000)
Te (0.2083, 0.2083, 0.0000)
Te (0.7917, 0.7917, 0.0000)
P (0.3786, 0.3786, 0.0000)
P (0.6214, 0.6214, 0.0000)
Pt (0.0786, 0.5786, 0.5000)
Pt (0.3007, 0.3007, 0.0000)
Pt (0.4214, 0.9214, 0.5000)
Pt (0.5000, 0.5000, 0.0000)
Pt (0.5786, 0.0786, 0.5000)
Pt (0.6993, 0.6993, 0.0000)
Pt (0.9214, 0.4214, 0.5000)

energy relative to the elements, uncorrected: -697 kJ/mol of formula units

***

(2)
Pr8Te4P3Pt | GGA-PBE | relaxed

Cell: 8.8682 8.8682 8.8682 Å, 58.48 58.48 58.48°
Positions (direct):
Pr (0.2368, 0.7403, 0.7403)
Pr (0.2379, 0.2379, 0.2379)
Pr (0.2597, 0.2597, 0.7632)
Pr (0.2597, 0.7632, 0.2597)
Pr (0.7403, 0.2368, 0.7403)
Pr (0.7403, 0.7403, 0.2368)
Pr (0.7621, 0.7621, 0.7621)
Pr (0.7632, 0.2597, 0.2597)
Te (0.0000, 0.0000, 0.0000)
Te (0.0000, 0.5000, 0.5000)
Te (0.5000, 0.0000, 0.5000)
Te (0.5000, 0.5000, 0.0000)
P (0.0000, 0.0000, 0.5000)
P (0.0000, 0.5000, 0.0000)
P (0.5000, 0.0000, 0.0000)
Pt (0.5000, 0.5000, 0.5000)

energy relative to the elements, uncorrected: -2261 kJ/mol of formula units

***

(3)
PrTl2P2Pt7 | GGA-PBE | relaxed

Cell: 4.0698 4.0698 14.3228 Å, 93.74 93.74 89.97°
Positions (direct):
Pr (0.0000, 0.0000, 0.0000)
Tl (0.0846, 0.0846, 0.4000)
Tl (0.9154, 0.9154, 0.6000)
P (0.4415, 0.4415, 0.7518)
P (0.5585, 0.5585, 0.2482)
Pt (0.0387, 0.5377, 0.1608)
Pt (0.4278, 0.4278, 0.5924)
Pt (0.4623, 0.9613, 0.8392)
Pt (0.5000, 0.5000, 0.0000)
Pt (0.5377, 0.0387, 0.1608)
Pt (0.5722, 0.5722, 0.4076)
Pt (0.9613, 0.4623, 0.8392)

ΔE_f: -47.9 kJ/mol of atoms

***

(4)
Pr2TmP3Pt12 | GGA-PBE | relaxed

Cell: 7.7694 7.7694 7.7694 Å, 64.54 64.54 64.54°
Positions (direct):
Pr (0.1016, 0.1016, 0.1016)
Pr (0.8984, 0.8984, 0.8984)
Tm (0.5000, 0.5000, 0.5000)
P (0.0000, 0.5000, 0.5000)
P (0.5000, 0.0000, 0.5000)
P (0.5000, 0.5000, 0.0000)
Pt (0.1025, 0.6381, 0.6381)
Pt (0.1609, 0.1609, 0.6012)
Pt (0.1609, 0.6012, 0.1609)
Pt (0.3619, 0.3619, 0.8975)
Pt (0.3619, 0.8975, 0.3619)
Pt (0.3988, 0.8391, 0.8391)
Pt (0.6012, 0.1609, 0.1609)
Pt (0.6381, 0.1025, 0.6381)
Pt (0.6381, 0.6381, 0.1025)
Pt (0.8391, 0.3988, 0.8391)
Pt (0.8391, 0.8391, 0.3988)
Pt (0.8975, 0.3619, 0.3619)

ΔE_f: -47.6 kJ/mol of atoms

***

(5)
Pr2ZnP3Pt12 | GGA-PBE | relaxed

Cell: 7.6787 7.6787 7.6787 Å, 64.92 64.92 64.92°
Positions (direct):
Pr (0.1120, 0.1120, 0.1120)
Pr (0.8880, 0.8880, 0.8880)
Zn (0.5000, 0.5000, 0.5000)
P (0.0000, 0.5000, 0.5000)
P (0.5000, 0.0000, 0.5000)
P (0.5000, 0.5000, 0.0000)
Pt (0.1285, 0.6247, 0.6247)
Pt (0.1569, 0.1569, 0.6009)
Pt (0.1569, 0.6009, 0.1569)
Pt (0.3753, 0.3753, 0.8715)
Pt (0.3753, 0.8715, 0.3753)
Pt (0.3991, 0.8431, 0.8431)
Pt (0.6009, 0.1569, 0.1569)
Pt (0.6247, 0.1285, 0.6247)
Pt (0.6247, 0.6247, 0.1285)
Pt (0.8431, 0.3991, 0.8431)
Pt (0.8431, 0.8431, 0.3991)
Pt (0.8715, 0.3753, 0.3753)

ΔE_f: -44.0 kJ/mol of atoms

***

(6)
Pr2ZnP3Pt4 | GGA-PBE | relaxed

Cell: 4.2722 4.2722 9.9404 Å, 90.00 90.00 90.00°
Positions (direct):
Pr (0.0000, 0.5000, 0.2461)
Pr (0.5000, 0.0000, 0.7539)
Zn (0.0000, 0.0000, 0.5000)
P (0.0000, 0.5000, 0.8672)
P (0.5000, 0.0000, 0.1328)
P (0.5000, 0.5000, 0.5000)
Pt (0.0000, 0.0000, 0.0000)
Pt (0.0000, 0.5000, 0.6301)
Pt (0.5000, 0.0000, 0.3699)
Pt (0.5000, 0.5000, 0.0000)

ΔE_f: -91.2 kJ/mol of atoms

***

(7)
Pr2ZnPPt6 | GGA-PBE | relaxed

Cell: 5.5943 8.7346 8.1625 Å, 90.00 90.00 90.00°
Positions (direct):
Pr (0.2500, 0.0167, 0.2260)
Pr (0.2500, 0.4833, 0.2260)
Pr (0.7500, 0.5167, 0.7740)
Pr (0.7500, 0.9833, 0.7740)
Zn (0.2500, 0.7500, 0.7825)
Zn (0.7500, 0.2500, 0.2175)
P (0.2500, 0.2500, 0.7329)
P (0.7500, 0.7500, 0.2671)
Pt (0.0030, 0.7500, 0.0404)
Pt (0.0037, 0.7500, 0.5112)
Pt (0.2500, 0.0027, 0.6132)
Pt (0.2500, 0.4973, 0.6132)
Pt (0.4963, 0.7500, 0.5112)
Pt (0.4970, 0.7500, 0.0404)
Pt (0.5030, 0.2500, 0.9596)
Pt (0.5037, 0.2500, 0.4888)
Pt (0.7500, 0.5027, 0.3868)
Pt (0.7500, 0.9973, 0.3868)
Pt (0.9963, 0.2500, 0.4888)
Pt (0.9970, 0.2500, 0.9596)

ΔE_f: -84.1 kJ/mol of atoms

***

(8)
Pr3ZnP2Pt9 | GGA-PBE | relaxed

Cell: 6.2617 6.2617 9.2270 Å, 90.00 90.00 120.00°
Positions (direct):
Pr (0.0000, 0.0000, 0.0000)
Pr (0.3333, 0.6667, 0.6839)
Pr (0.6667, 0.3333, 0.3161)
Zn (0.0000, 0.0000, 0.5000)
P (0.3333, 0.6667, 0.1747)
P (0.6667, 0.3333, 0.8253)
Pt (0.0000, 0.5000, 0.0000)
Pt (0.1472, 0.2944, 0.2835)
Pt (0.1472, 0.8528, 0.2835)
Pt (0.2944, 0.1472, 0.7165)
Pt (0.5000, 0.0000, 0.0000)
Pt (0.5000, 0.5000, 0.0000)
Pt (0.7056, 0.8528, 0.2835)
Pt (0.8528, 0.1472, 0.7165)
Pt (0.8528, 0.7056, 0.7165)

ΔE_f: -69.4 kJ/mol of atoms

***

(9)
Pr3PuP4 | GGA-PBE | relaxed

Cell: 7.1836 7.1836 4.1568 Å, 90.00 90.00 109.47°
Positions (direct):
Pr (0.0000, 0.0000, 0.0000)
Pr (0.0000, 0.5000, 0.5000)
Pr (0.5000, 0.0000, 0.5000)
Pu (0.5000, 0.5000, 0.0000)
P (0.2560, 0.7440, 0.0000)
P (0.2619, 0.2619, 0.5000)
P (0.7381, 0.7381, 0.5000)
P (0.7440, 0.2560, 0.0000)

polymorph energy (0 for the lowest one): 0.0 meV per atom
ΔE_f: -135.6 kJ/mol of atoms

***

(10)
PrPuP | GGA-PBE | relaxed

Cell: 3.8924 3.8924 6.6164 Å, 90.00 90.00 120.00°
Positions (direct):
Pr (0.0000, 0.0000, 0.0000)
Pu (0.6667, 0.3333, 0.4821)
P (0.3333, 0.6667, 0.7285)

ΔE_f: -64.1 kJ/mol of atoms

***

(11)
Pr3PuP4 | GGA-PBE | relaxed

Cell: 5.8792 5.8792 5.8792 Å, 90.00 90.00 90.00°
Positions (direct):
Pr (0.0000, 0.0000, 0.5000)
Pr (0.0000, 0.5000, 0.0000)
Pr (0.5000, 0.0000, 0.0000)
Pu (0.5000, 0.5000, 0.5000)
P (0.0000, 0.0000, 0.0000)
P (0.0000, 0.5000, 0.5000)
P (0.5000, 0.0000, 0.5000)
P (0.5000, 0.5000, 0.0000)

polymorph energy (0 for the lowest one): 15.0 meV per atom
ΔE_f: -134.1 kJ/mol of atoms

***

(12)
Pr2PuP3 | GGA-PBE | relaxed

Cell: 9.2422 9.2422 9.2422 Å, 154.10 154.10 36.95°
Positions (direct):
Pr (0.1671, 0.1671, 0.0000)
Pr (0.8329, 0.8329, 0.0000)
Pu (0.5000, 0.5000, 0.0000)
P (0.0000, 0.0000, 0.0000)
P (0.3378, 0.3378, 0.0000)
P (0.6622, 0.6622, 0.0000)

polymorph energy (0 for the lowest one): 11.0 meV per atom
ΔE_f: -131.5 kJ/mol of atoms

***

(13)
PrPu2P4 | GGA-PBE | relaxed

Cell: 7.1455 7.1455 11.2990 Å, 90.00 90.00 145.91°
Positions (direct):
Pr (0.1038, 0.8962, 0.7500)
Pr (0.8962, 0.1038, 0.2500)
Pu (0.3692, 0.6308, 0.5537)
Pu (0.3692, 0.6308, 0.9463)
Pu (0.6308, 0.3692, 0.0537)
Pu (0.6308, 0.3692, 0.4463)
P (0.0000, 0.0000, 0.0000)
P (0.0000, 0.0000, 0.5000)
P (0.2549, 0.7451, 0.1506)
P (0.2549, 0.7451, 0.3494)
P (0.4659, 0.5341, 0.7500)
P (0.5341, 0.4659, 0.2500)
P (0.7451, 0.2549, 0.6506)
P (0.7451, 0.2549, 0.8494)

ΔE_f: -88.2 kJ/mol of atoms

***

(14)
PrPuP | GGA-PBE | relaxed

Cell: 4.8586 4.8586 4.8586 Å, 60.00 60.00 60.00°
Positions (direct):
Pr (0.0000, 0.0000, 0.0000)
Pu (0.5000, 0.5000, 0.5000)
P (0.2500, 0.2500, 0.2500)

ΔE_f: -58.4 kJ/mol of atoms

***

(15)
Pr2PuP3 | GGA-PBE | relaxed

Cell: 7.1510 7.1510 7.1510 Å, 146.35 131.77 60.09°
Positions (direct):
Pr (0.1679, 0.1679, 0.0000)
Pr (0.8321, 0.8321, 0.0000)
Pu (0.5000, 0.5000, 0.0000)
P (0.0000, 0.5000, 0.5000)
P (0.3437, 0.8437, 0.5000)
P (0.6563, 0.1563, 0.5000)

polymorph energy (0 for the lowest one): 0.0 meV per atom
ΔE_f: -132.6 kJ/mol of atoms

***

(16)
Pr5PuP6 | GGA-PBE | relaxed

Cell: 7.2168 7.2168 7.2196 Å, 99.61 99.61 119.98°
Positions (direct):
Pr (0.0000, 0.0000, 0.0000)
Pr (0.1662, 0.8338, 0.5000)
Pr (0.3317, 0.6683, 0.0000)
Pr (0.6683, 0.3317, 0.0000)
Pr (0.8338, 0.1662, 0.5000)
Pu (0.5000, 0.5000, 0.5000)
P (0.0957, 0.4187, 0.2560)
P (0.2583, 0.2583, 0.7441)
P (0.4187, 0.0957, 0.2560)
P (0.5813, 0.9043, 0.7440)
P (0.7417, 0.7417, 0.2559)
P (0.9043, 0.5813, 0.7440)

ΔE_f: -139.0 kJ/mol of atoms

***

(17)
PrPuP | GGA-PBE | relaxed

Cell: 6.7970 6.7970 8.0508 Å, 90.00 90.00 90.00°
Positions (direct):
Pr (0.2134, 0.2134, 0.0000)
Pr (0.2866, 0.7134, 0.2500)
Pr (0.7134, 0.2866, 0.7500)
Pr (0.7866, 0.7866, 0.5000)
Pu (0.2007, 0.2007, 0.5000)
Pu (0.2993, 0.7007, 0.7500)
Pu (0.7007, 0.2993, 0.2500)
Pu (0.7993, 0.7993, 0.0000)
P (0.0111, 0.9889, 0.7500)
P (0.4889, 0.4889, 0.5000)
P (0.5111, 0.5111, 0.0000)
P (0.9889, 0.0111, 0.2500)

ΔE_f: -59.0 kJ/mol of atoms

***

(18)
Pr2PuP3Rh12 | GGA-PBE | relaxed

Cell: 7.3887 7.3887 7.3887 Å, 68.08 68.08 68.08°
Positions (direct):
Pr (0.1003, 0.1003, 0.1003)
Pr (0.8997, 0.8997, 0.8997)
Pu (0.5000, 0.5000, 0.5000)
P (0.0000, 0.5000, 0.5000)
P (0.5000, 0.0000, 0.5000)
P (0.5000, 0.5000, 0.0000)
Rh (0.1182, 0.6397, 0.6397)
Rh (0.1670, 0.1670, 0.5907)
Rh (0.1670, 0.5907, 0.1670)
Rh (0.3603, 0.3603, 0.8818)
Rh (0.3603, 0.8818, 0.3603)
Rh (0.4093, 0.8330, 0.8330)
Rh (0.5907, 0.1670, 0.1670)
Rh (0.6397, 0.1182, 0.6397)
Rh (0.6397, 0.6397, 0.1182)
Rh (0.8330, 0.4093, 0.8330)
Rh (0.8330, 0.8330, 0.4093)
Rh (0.8818, 0.3603, 0.3603)

ΔE_f: -27.4 kJ/mol of atoms

***

(19)
PrPuP2Rh2 | GGA-PBE | relaxed

Cell: 4.0954 4.0954 8.0475 Å, 90.00 90.00 120.00°
Positions (direct):
Pr (0.0000, 0.0000, 0.0000)
Pu (0.0000, 0.0000, 0.5000)
P (0.3333, 0.6667, 0.2561)
P (0.6667, 0.3333, 0.7439)
Rh (0.3333, 0.6667, 0.7360)
Rh (0.6667, 0.3333, 0.2640)

ΔE_f: -103.0 kJ/mol of atoms

***

(20)
Pr2PuP3Rh4 | GGA-PBE | relaxed

Cell: 4.0663 4.0663 11.1487 Å, 90.00 90.00 90.00°
Positions (direct):
Pr (0.0000, 0.5000, 0.2259)
Pr (0.5000, 0.0000, 0.7741)
Pu (0.0000, 0.0000, 0.5000)
P (0.0000, 0.5000, 0.8768)
P (0.5000, 0.0000, 0.1232)
P (0.5000, 0.5000, 0.5000)
Rh (0.0000, 0.0000, 0.0000)
Rh (0.0000, 0.5000, 0.6660)
Rh (0.5000, 0.0000, 0.3340)
Rh (0.5000, 0.5000, 0.0000)

ΔE_f: -93.9 kJ/mol of atoms

***

(21)
PrPuPS | GGA-PBE | relaxed

Cell: 7.0195 7.0195 7.0195 Å, 33.84 33.84 33.84°
Positions (direct):
Pr (0.0000, 0.0000, 0.0000)
Pu (0.4982, 0.4982, 0.4982)
P (0.7536, 0.7536, 0.7536)
S (0.2440, 0.2440, 0.2440)

energy relative to the elements, uncorrected: -639 kJ/mol of formula units

***

Number 1: energy -71.40 eV for the cell shown, size of the total moment 0.00 μB per formula unit. Number 2: energy -96.51 eV for the cell shown, size of the total moment 0.00 μB per formula unit. Number 3: energy -68.57 eV for the cell shown, size of the total moment 0.00 μB per formula unit. Number 4: energy -111.64 eV for the cell shown, size of the total moment 0.00 μB per formula unit. Number 5: energy -107.75 eV for the cell shown, size of the total moment 0.00 μB per formula unit. Number 6: energy -60.67 eV for the cell shown, size of the total moment 0.00 μB per formula unit. Number 7: energy -122.40 eV for the cell shown, size of the total moment 0.00 μB per formula unit. Number 8: energy -91.58 eV for the cell shown, size of the total moment 0.00 μB per formula unit. Number 9: energy -61.55 eV for the cell shown, size of the total moment 4.88 μB per formula unit. Number 10: energy -26.51 eV for the cell shown, size of the total moment 6.25 μB per formula unit. Number 11: energy -61.43 eV for the cell shown, size of the total moment 4.88 μB per formula unit. Number 12: energy -48.30 eV for the cell shown, size of the total moment 4.91 μB per formula unit. Number 13: energy -122.97 eV for the cell shown, size of the total moment 8.99 μB per formula unit. Number 14: energy -26.34 eV for the cell shown, size of the total moment 6.60 μB per formula unit. Number 15: energy -48.37 eV for the cell shown, size of the total moment 4.87 μB per formula unit. Number 16: energy -87.98 eV for the cell shown, size of the total moment 4.75 μB per formula unit. Number 17: energy -105.42 eV for the cell shown, size of the total moment 6.54 μB per formula unit. Number 18: energy -133.45 eV for the cell shown, size of the total moment 3.13 μB per formula unit. Number 19: energy -51.04 eV for the cell shown, size of the total moment 4.58 μB per formula unit. Number 20: energy -79.26 eV for the cell shown, size of the total moment 5.26 μB per formula unit. Number 21: energy -35.28 eV for the cell shown, size of the total moment 5.40 μB per formula unit.